Here is crystalline LaHf2Nb at its relaxed geometry from Alexandria via LeMat-Bulk. Energies are from PBE.

Structure (POSCAR):
```
LaHf2Nb
1.0
-0.2148 0.4997 -3.1176
-2.7991 -0.2553 -1.4543
-2.9477 10.8182 0.3308
Nb Hf La
1 2 1
Direct
0.5000 0.5000 0.5000
0.0957 0.0957 0.7128
0.9043 0.9043 0.2872
0.0000 0.0000 0.0000
```

Formation energy from the elements: 0.320 eV/atom
Density: 10.18 g/cm³